DFT (GGA+U) results for a relaxed CrP3H2O10 crystal.

Cell: 7.5176 8.8647 11.9165 Å, 90.00 103.25 90.00°
Positions (direct):
1 O 0.3811 0.2169 0.6838
2 P 0.2278 0.6152 0.5257
3 P 0.7841 0.8872 0.6382
4 P 0.1531 0.8820 0.7938
5 P 0.7278 0.8848 0.0257
6 O 0.3231 0.9136 0.7489
7 O 0.1336 0.2489 0.9477
8 P 0.7159 0.3872 0.8618
9 H 0.2214 0.6394 0.9475
10 O 0.1769 0.4136 0.7511
11 O 0.9349 0.3582 0.4217
12 O 0.5651 0.8582 0.0783
13 O 0.6336 0.2511 0.4477
14 Cr 0.5384 0.0640 0.7938
15 O 0.2713 0.7777 0.1697
16 O 0.1355 0.5133 0.1641
17 O 0.2287 0.2777 0.3303
18 P 0.2159 0.1128 0.3618
19 O 0.3664 0.7489 0.5523
20 O 0.4810 0.5453 0.2083
21 Cr 0.9616 0.5640 0.7062
22 O 0.8038 0.9154 0.5123
23 O 0.6625 0.5332 0.4124
24 O 0.0651 0.6418 0.5783
25 P 0.2722 0.1152 0.9743
26 O 0.6189 0.7831 0.3162
27 O 0.8089 0.4144 0.6019
28 O 0.8375 0.0332 0.0876
29 O 0.1962 0.0846 0.4877
30 O 0.7287 0.2223 0.8303
31 P 0.7722 0.3848 0.4743
32 H 0.3578 0.8112 0.6202
33 H 0.7214 0.8606 0.4475
34 Cr 0.0384 0.4360 0.2938
35 O 0.4349 0.1418 0.9217
36 O 0.1911 0.5856 0.3981
37 H 0.2786 0.1394 0.5525
38 O 0.7713 0.7223 0.6697
39 O 0.3038 0.5846 0.0123
40 O 0.9810 0.9547 0.7083
41 O 0.6355 0.9867 0.6641
42 P 0.6531 0.6180 0.2938
43 O 0.8231 0.5864 0.2489
44 P 0.2841 0.6128 0.1382
45 H 0.8578 0.6888 0.1202
46 H 0.7786 0.3606 0.0525
47 O 0.5190 0.4547 0.7917
48 O 0.3375 0.4668 0.5876
49 O 0.3645 0.0133 0.3359
50 O 0.0190 0.0453 0.2917
51 O 0.6911 0.9144 0.8981
52 O 0.6769 0.0864 0.2511
53 P 0.3469 0.3820 0.7062
54 O 0.8645 0.4867 0.8359
55 P 0.8469 0.1180 0.2062
56 O 0.8811 0.2831 0.1838
57 Cr 0.4616 0.9360 0.2062
58 O 0.6962 0.4154 0.9877
59 O 0.3089 0.0856 0.1019
60 H 0.1422 0.3112 0.8798
61 O 0.1189 0.7169 0.8162
62 O 0.1625 0.9668 0.9124
63 H 0.6422 0.1888 0.3798
64 O 0.8664 0.7511 0.0523

Values from the calculation:
E_tot (eV/atom): -6.946
Magnetization (μB per cell): 11.999
Fermi-level density of states (states/eV/cell): 0.00

=====

DFT (GGA+U) results for a relaxed CrP2HO crystal.

Cell: 3.3002 3.3002 5.7418 Å, 90.00 90.00 90.00°
Positions (direct):
1 H 0.0000 0.0000 0.0000
2 Cr 0.5000 0.5000 0.5000
3 P 0.5000 0.0000 0.0000
4 P 0.0000 0.5000 0.0000
5 O 0.0000 0.0000 0.5000

Values from the calculation:
Energy above the lowest structure with this stoichiometry (eV/atom): 0.000
Magnetization (μB per cell): 3.514
Fermi-level density of states (states/eV/cell): 1.99

=====

DFT (GGA+U) results for a relaxed CrP2H15O14 crystal.

Cell: 7.0697 8.9058 10.6778 Å, 69.03 89.05 68.60°
Positions (direct):
1 H 0.2691 0.6443 0.0286
2 H 0.1037 0.6233 0.4139
3 H 0.6793 0.7873 0.0940
4 H 0.0856 0.3812 0.6733
5 H 0.5750 0.7681 0.3253
6 O 0.2527 0.2102 0.9883
7 H 0.0705 0.0199 0.8263
8 O 0.2232 0.9859 0.8137
9 Cr 0.7347 0.5804 0.7307
10 H 0.7227 0.9043 0.6034
11 P 0.3082 0.8138 0.7851
12 H 0.2773 0.0957 0.3966
13 O 0.6957 0.3746 0.8742
14 O 0.1344 0.7052 0.5147
15 O 0.2245 0.2122 0.4042
16 H 0.9430 0.3926 0.1531
17 O 0.7768 0.0141 0.1863
18 Cr 0.2653 0.4196 0.2693
19 H 0.9144 0.6188 0.3267
20 H 0.2301 0.9144 0.2504
21 H 0.8046 0.9711 0.9083
22 H 0.9295 0.9801 0.1737
23 O 0.7755 0.7878 0.5958
24 H 0.3825 0.4082 0.6911
25 H 0.6175 0.5918 0.3089
26 H 0.6615 0.7731 0.9494
27 O 0.6600 0.6916 0.2803
28 H 0.2483 0.7406 0.1364
29 O 0.1640 0.9331 0.1602
30 O 0.5434 0.7468 0.8092
31 O 0.9724 0.5344 0.8580
32 H 0.0657 0.4108 0.9125
33 O 0.7473 0.7898 0.0117
34 H 0.1954 0.0289 0.0917
35 O 0.4980 0.3997 0.3860
36 O 0.6518 0.1173 0.6002
37 H 0.4250 0.2319 0.6747
38 P 0.3090 0.7606 0.5310
39 H 0.9343 0.5892 0.0875
40 O 0.4566 0.2532 0.1908
41 O 0.3400 0.3084 0.7197
42 H 0.9144 0.7651 0.5622
43 O 0.2366 0.8767 0.6263
44 O 0.8656 0.2948 0.4853
45 H 0.3385 0.2269 0.0506
46 H 0.7517 0.2594 0.8636
47 H 0.7309 0.3557 0.9714
48 O 0.5020 0.6003 0.6140
49 H 0.3207 0.2127 0.9060
50 P 0.6910 0.2394 0.4690
51 H 0.8963 0.3767 0.5861
52 O 0.7827 0.3144 0.1323
53 O 0.8360 0.0669 0.8398
54 H 0.0570 0.6074 0.8469
55 O 0.9329 0.4211 0.6540
56 O 0.3043 0.6254 0.1258
57 P 0.6918 0.1862 0.2149
58 H 0.0856 0.2349 0.4378
59 H 0.7699 0.0856 0.7496
60 O 0.3482 0.8827 0.3998
61 O 0.7634 0.1233 0.3737
62 O 0.0276 0.4656 0.1420
63 O 0.0671 0.5789 0.3460
64 O 0.2173 0.6856 0.8677

Values from the calculation:
E_tot (eV/atom): -5.704
Magnetization (μB per cell): 5.928
Fermi-level density of states (states/eV/cell): 0.00

=====

DFT (GGA+U) results for a relaxed CrPHO2 crystal.

Cell: 3.5446 3.5446 5.2788 Å, 90.00 90.00 90.00°
Positions (direct):
1 O 0.5000 0.0000 0.0000
2 H 0.5000 0.5000 0.5000
3 O 0.0000 0.5000 0.0000
4 Cr 0.0000 0.0000 0.0000
5 P 0.0000 0.0000 0.5000

Values from the calculation:
Energy above the lowest structure with this stoichiometry (eV/atom): 0.000
Magnetization (μB per cell): 1.142
Fermi-level density of states (states/eV/cell): 1.98

=====

DFT (GGA+U) results for a relaxed CrPHO2 crystal.

Cell: 4.0309 4.0309 2.9373 Å, 90.00 90.00 90.00°
Positions (direct):
1 H 0.0000 0.0000 0.0000
2 O 0.0000 0.5000 0.0000
3 O 0.5000 0.0000 0.0000
4 P 0.0000 0.0000 0.5000
5 Cr 0.5000 0.5000 0.5000

Values from the calculation:
Energy above the lowest structure with this stoichiometry (eV/atom): 0.221
Magnetization (μB per cell): 3.913
Fermi-level density of states (states/eV/cell): 2.66

=====

DFT (GGA+U) results for a relaxed Cr2P4H3O16 crystal.

Cell: 4.8633 7.1623 8.1660 Å, 90.52 90.00 101.64°
Positions (direct):
1 P 0.5985 0.7559 0.8417
2 P 0.0750 0.2419 0.6646
3 O 0.7641 0.5925 0.8454
4 O 0.2094 0.0652 0.6437
5 O 0.7905 0.9362 0.3585
6 P 0.9248 0.7596 0.3361
7 Cr 0.4996 0.9994 0.5014
8 O 0.7532 0.9447 0.9220
9 O 0.2367 0.8089 0.3923
10 O 0.7616 0.1902 0.6111
11 O 0.4387 0.1983 0.3413
12 H 0.3188 0.3576 0.4567
13 O 0.2402 0.4099 0.1564
14 O 0.7671 0.5912 0.4438
15 O 0.2267 0.4080 0.5526
16 O 0.5542 0.7970 0.6586
17 H 0.9373 0.9655 0.9821
18 H 0.6696 0.6393 0.5390
19 O 0.3115 0.6960 0.9263
20 O 0.6934 0.3107 0.0791
21 O 0.2417 0.0627 0.0719
22 O 0.0963 0.3181 0.8395
23 O 0.9102 0.6887 0.1595
24 P 0.4021 0.2413 0.1565
25 Cr 0.0075 0.5029 0.9999

Values from the calculation:
E_tot (eV/atom): -6.756
Magnetization (μB per cell): 2.961
Fermi-level density of states (states/eV/cell): 8.24

=====

DFT (GGA+U) results for a relaxed VCrP2H2O10 crystal.

Cell: 7.2791 7.4204 7.2367 Å, 89.15 89.56 120.15°
Positions (direct):
1 O 0.0155 0.9290 0.2619
2 H 0.4277 0.2186 0.7317
3 O 0.9733 0.2437 0.0992
4 O 0.4732 0.2436 0.5992
5 O 0.0268 0.7563 0.9008
6 O 0.7932 0.6047 0.4615
7 O 0.2067 0.3953 0.5385
8 H 0.9277 0.2186 0.2317
9 O 0.5556 0.6123 0.7328
10 P 0.9862 0.2494 0.6296
11 O 0.1788 0.8221 0.5235
12 O 0.5155 0.9290 0.7619
13 O 0.9845 0.0710 0.7381
14 O 0.3212 0.1779 0.9765
15 O 0.8212 0.1779 0.4765
16 P 0.4862 0.2494 0.1296
17 Cr 0.0000 0.0000 0.0000
18 O 0.9444 0.3877 0.7672
19 O 0.4445 0.3877 0.2672
20 P 0.5138 0.7506 0.8703
21 O 0.5267 0.7563 0.4008
22 O 0.2933 0.6047 0.9615
23 H 0.0723 0.7814 0.7683
24 V 0.0000 0.5000 0.0000
25 Cr 0.5000 0.0000 0.5000
26 O 0.0555 0.6123 0.2328
27 P 0.0138 0.7506 0.3704
28 O 0.7068 0.3953 0.0385
29 O 0.4845 0.0710 0.2381
30 O 0.6788 0.8221 0.0235
31 V 0.5000 0.5000 0.5000
32 H 0.5723 0.7814 0.2683

Values from the calculation:
Energy above the lowest structure with this stoichiometry (eV/atom): 0.000
Magnetization (μB per cell): 5.999

=====

DFT (GGA+U) results for a relaxed VCrP2H2O10 crystal.

Cell: 5.0332 5.7708 7.2928 Å, 73.13 106.67 102.85°
Positions (direct):
1 P 0.5070 0.6725 0.7304
2 O 0.9573 0.8417 0.2732
3 V 0.0000 0.0000 0.5000
4 O 0.1881 0.7486 0.2388
5 O 0.6212 0.7842 0.5378
6 P 0.4930 0.3275 0.2696
7 O 0.0427 0.1583 0.7268
8 O 0.3788 0.2158 0.4622
9 O 0.8119 0.2514 0.7612
10 O 0.2861 0.2656 0.0841
11 H 0.3650 0.7851 0.3478
12 H 0.6350 0.2149 0.6522
13 O 0.7139 0.7344 0.9159
14 O 0.2185 0.7479 0.6981
15 Cr 0.0000 0.0000 0.0000
16 O 0.7815 0.2521 0.3019

Values from the calculation:
Energy above the lowest structure with this stoichiometry (eV/atom): 0.604
Magnetization (μB per cell): 1.001

=====

DFT (GGA+U) results for a relaxed VCrP2H2O10 crystal.

Cell: 5.1803 5.3196 7.3165 Å, 106.76 108.20 99.11°
Positions (direct):
1 O 0.1397 0.7110 0.3815
2 O 0.3236 0.8691 0.1376
3 H 0.3329 0.9711 0.8071
4 P 0.6673 0.3310 0.7447
5 O 0.3535 0.2454 0.5858
6 V 0.0000 0.0000 0.5000
7 O 0.6764 0.1309 0.8624
8 O 0.8783 0.0625 0.2449
9 O 0.8603 0.2890 0.6185
10 O 0.2598 0.3733 0.1193
11 O 0.6465 0.7546 0.4142
12 H 0.6671 0.0289 0.1929
13 O 0.7402 0.6267 0.8807
14 P 0.3327 0.6690 0.2553
15 O 0.1217 0.9375 0.7551
16 Cr 0.0000 0.0000 0.0000

Values from the calculation:
Energy above the lowest structure with this stoichiometry (eV/atom): 0.006
Magnetization (μB per cell): 2.999

=====

DFT (GGA+U) results for a relaxed PaCr2HO6 crystal.

Cell: 5.4960 5.4022 5.6195 Å, 59.29 59.64 59.58°
Positions (direct):
1 Cr 0.5173 0.5312 0.4634
2 O 0.3592 0.7849 0.7095
3 O 0.2719 0.8940 0.1965
4 O 0.8604 0.6893 0.2615
5 H 0.2901 0.0825 0.1616
6 Cr 0.0079 0.0418 0.9414
7 O 0.6908 0.2499 0.2436
8 O 0.1449 0.4068 0.6994
9 O 0.7439 0.1597 0.7309
10 Pa 0.7753 0.8214 0.6074

Values from the calculation:
E_tot (eV/atom): -8.009
Magnetization (μB per cell): 6.000
Fermi-level density of states (states/eV/cell): 0.00

=====

DFT (GGA+U) results for a relaxed Cr2HPbO crystal.

Cell: 3.8652 5.1709 3.8652 Å, 90.00 90.00 90.00°
Positions (direct):
1 Pb 0.5000 0.5000 0.5000
2 H 0.0000 0.0000 0.0000
3 O 0.0000 0.5000 0.0000
4 Cr 0.5000 0.0000 0.0000
5 Cr 0.0000 0.0000 0.5000

Values from the calculation:
E_tot (eV/atom): -5.158
Magnetization (μB per cell): 9.067
Fermi-level density of states (states/eV/cell): 1.05

=====

DFT (GGA+U) results for a relaxed CrHPbO4 crystal.

Cell: 4.9237 5.8385 7.7583 Å, 90.00 97.32 90.00°
Positions (direct):
1 O 0.3854 0.7500 0.1121
2 O 0.3820 0.7500 0.4599
3 O 0.6146 0.2500 0.8879
4 O 0.0291 0.0017 0.7563
5 O 0.9709 0.5017 0.2437
6 O 0.9709 0.9983 0.2437
7 Pb 0.4042 0.7500 0.8117
8 Cr 0.8580 0.2500 0.7423
9 Pb 0.5958 0.2500 0.1883
10 O 0.0291 0.4983 0.7563
11 H 0.5709 0.7500 0.4332
12 H 0.4291 0.2500 0.5668
13 Cr 0.1420 0.7500 0.2577
14 O 0.6180 0.2500 0.5401

Values from the calculation:
E_tot (eV/atom): -6.084
Magnetization (μB per cell): 2.000

=====

DFT (GGA+U) results for a relaxed CrH2PbO4 crystal.

Cell: 4.4259 5.0482 5.0482 Å, 74.84 64.00 64.00°
Positions (direct):
1 O 0.9438 0.4553 0.2088
2 O 0.6079 0.5447 0.7912
3 Pb 0.0000 0.0000 0.0000
4 O 0.3921 0.2088 0.4553
5 O 0.0562 0.7912 0.5447
6 H 0.8361 0.6639 0.6639
7 H 0.1639 0.3361 0.3361
8 Cr 0.5000 0.5000 0.5000

Values from the calculation:
E_tot (eV/atom): -5.793
Magnetization (μB per cell): 2.000

=====

DFT (GGA+U) results for a relaxed CrHPdO crystal.

Cell: 2.9365 3.1890 10.7879 Å, 90.00 90.00 90.00°
Positions (direct):
1 H 0.5000 0.5000 0.1879
2 Cr 0.0000 0.0000 0.8144
3 O 0.5000 0.0000 0.9250
4 Pd 0.5000 0.5000 0.6244
5 Pd 0.5000 0.0000 0.1244
6 O 0.5000 0.5000 0.4250
7 Cr 0.0000 0.5000 0.3144
8 H 0.5000 0.0000 0.6879

Values from the calculation:
Energy above the lowest structure with this stoichiometry (eV/atom): 0.277
Magnetization (μB per cell): 6.459
Fermi-level density of states (states/eV/cell): 3.26

=====

DFT (GGA+U) results for a relaxed CrHPdO crystal.

Cell: 6.5198 3.0322 5.2181 Å, 90.00 107.60 90.00°
Positions (direct):
1 H 0.7274 0.0000 0.1057
2 O 0.8875 0.5000 0.6556
3 H 0.7274 0.5000 0.6057
4 Pd 0.4131 0.0000 0.3247
5 O 0.8875 0.0000 0.1556
6 Cr 0.0756 0.5000 0.3517
7 Cr 0.0756 0.0000 0.8517
8 Pd 0.4131 0.5000 0.8247

Values from the calculation:
Energy above the lowest structure with this stoichiometry (eV/atom): 0.106
Magnetization (μB per cell): 7.973
Fermi-level density of states (states/eV/cell): 1.59

=====

DFT (GGA+U) results for a relaxed CrHPdO crystal.

Cell: 3.0351 3.2431 4.7584 Å, 90.00 90.01 90.00°
Positions (direct):
1 Pd 0.7929 0.0000 0.4588
2 Cr 0.2924 0.5000 0.8736
3 O 0.7926 0.5000 0.1282
4 H 0.2930 0.0000 0.6430

Values from the calculation:
Energy above the lowest structure with this stoichiometry (eV/atom): 0.250
Magnetization (μB per cell): 3.018
Fermi-level density of states (states/eV/cell): 0.76

=====

DFT (GGA+U) results for a relaxed CrHPdO crystal.

Cell: 3.0268 3.0268 5.5858 Å, 90.00 90.00 120.00°
Positions (direct):
1 Pd 0.3333 0.6667 0.5474
2 Cr 0.6667 0.3333 0.1391
3 H 0.0000 0.0000 0.4414
4 O 0.3333 0.6667 0.9756

Values from the calculation:
Energy above the lowest structure with this stoichiometry (eV/atom): 0.075
Magnetization (μB per cell): 3.199
Fermi-level density of states (states/eV/cell): 0.79